Entry from Alexandria via LeMat-Bulk: crystalline TmMn2Pd9 at its relaxed geometry (PBE).

Cell and atoms, written as CIF:
```
data_TmMn2Pd9
_chemical_formula_sum 'Tm1 Mn2 Pd9'
_symmetry_space_group_name_H-M 'P 4/m m m'
_symmetry_Int_Tables_number 123
_symmetry_space_group_name_Hall '-P 4 2'
_cell_length_a 3.9949
_cell_length_b 3.9949
_cell_length_c 11.8634
_cell_angle_alpha 90.00
_cell_angle_beta 90.00
_cell_angle_gamma 90.00
loop_
_atom_site_label
_atom_site_fract_x
_atom_site_fract_y
_atom_site_fract_z
Tm1 0.0000 0.0000 0.0000
Mn1 0.0000 0.0000 0.3398
Pd1 0.0000 0.5000 0.1771
Pd2 0.0000 0.5000 0.5000
Pd3 0.5000 0.5000 0.0000
Pd4 0.5000 0.5000 0.3381
```

Calculated values
VASP energy in eV/cell: -74.8
Formation energy from the elements in kcal/mol of atoms: -10.09